No. 1
Crystalline CoRe2NiPt at its relaxed geometry, computed with PBE.

Cell: 4.3362 4.3362 4.2389 Å, 90.00 90.00 90.00°
Closest atoms and distances in Å follow each position.
Space group P4/mmm (No. 123)
One atom of each set of equivalent atoms:
Co (0.0000, 0.0000, 0.0000) (multiplicity 1)  2 Ni 2.12, 4 Re 2.17
Re (0.0000, 0.5000, 0.0000) (multiplicity 2)  2 Co 2.17
Ni (0.0000, 0.0000, 0.5000) (multiplicity 1)  2 Co 2.12
Pt (0.5000, 0.5000, 0.5000) (multiplicity 1)  8 Re 3.03, 4 Ni 3.07

* ΔH_f (0 K): 652 kJ/mol of formula units
* final energy: -7.413 eV per atom
* crystal system: tetragonal
* total moment: 0.00 μB/f.u.

No. 2
Crystalline CoNi2Pt5Rh at its relaxed geometry, computed with PBE.

Cell: 5.9317 5.9317 15.3201 Å, 90.00 90.00 90.00°
Closest atoms and distances in Å follow each position.
Space group I4/mcm (No. 140)
One atom of each set of equivalent atoms:
Co (0.0000, 0.0000, 0.2500) (multiplicity 4)  8 Pt 2.71, 4 Rh 2.97
Ni (0.1225, 0.3775, 0.0000) (multiplicity 8)  1 Ni 2.06
Pt (0.0000, 0.0000, 0.0000) (multiplicity 4)  4 Ni 2.35
Pt (0.2356, 0.2644, 0.3613) (multiplicity 16)  1 Ni 2.44, 1 Rh 2.61, 2 Co 2.71
Rh (0.0000, 0.5000, 0.2500) (multiplicity 4)  8 Pt 2.61-2.80

* ΔH_f (0 K): 251 kJ/mol of formula units
* final energy: -5.957 eV per atom
* crystal system: tetragonal
* total moment: 4.57 μB/f.u.

No. 3
Crystalline CoNi2PtRh at its relaxed geometry, computed with PBE.

Cell: 3.8917 8.8628 7.9308 Å, 90.00 90.00 90.00°
Closest atoms and distances in Å follow each position.
Space group Cmcm (No. 63)
One atom of each set of equivalent atoms:
Co (0.0000, 0.0000, 0.0000) (multiplicity 4)  2 Pt 2.51, 4 Ni 2.54, 4 Rh 2.80
Ni (0.0000, 0.3195, 0.0383) (multiplicity 8)  2 Ni 2.38, 2 Co 2.54, 2 Rh 2.54-2.62, 3 Pt 2.57-2.62
Pt (0.0000, 0.1742, 0.7500) (multiplicity 4)  2 Co 2.51, 6 Ni 2.57-2.62, 3 Rh 2.58-2.69
Rh (0.0000, 0.4648, 0.7500) (multiplicity 4)  4 Ni 2.54-2.62, 3 Pt 2.58-2.69, 4 Co 2.80

* ΔH_f (0 K): 87 kJ/mol of formula units
* final energy: -6.233 eV per atom
* crystal system: orthorhombic
* total moment: 4.55 μB/f.u.

Which formula does entry 1 have? CoRe2NiPt

Copy entry 2 word for word.
Crystalline CoNi2Pt5Rh at its relaxed geometry, computed with PBE.

Cell: 5.9317 5.9317 15.3201 Å, 90.00 90.00 90.00°
Closest atoms and distances in Å follow each position.
Space group I4/mcm (No. 140)
One atom of each set of equivalent atoms:
Co (0.0000, 0.0000, 0.2500) (multiplicity 4)  8 Pt 2.71, 4 Rh 2.97
Ni (0.1225, 0.3775, 0.0000) (multiplicity 8)  1 Ni 2.06
Pt (0.0000, 0.0000, 0.0000) (multiplicity 4)  4 Ni 2.35
Pt (0.2356, 0.2644, 0.3613) (multiplicity 16)  1 Ni 2.44, 1 Rh 2.61, 2 Co 2.71
Rh (0.0000, 0.5000, 0.2500) (multiplicity 4)  8 Pt 2.61-2.80

* ΔH_f (0 K): 251 kJ/mol of formula units
* final energy: -5.957 eV per atom
* crystal system: tetragonal
* total moment: 4.57 μB/f.u.

Which of these has the highest final energy? CoNi2Pt5Rh

Which of these has the highest final energy? CoNi2Pt5Rh